DFT (PBE) results for Cs2USnS6 after structural relaxation.

POSCAR file:
```
Cs2USnS6
1.0
7.3006 -0.0002 0.0001
3.6501 6.3226 -0.0002
3.6500 2.1075 5.9603
Cs U Sn S
2 1 1 6
direct
0.5661 0.5661 0.3016 Cs
0.0663 0.0662 0.8014 Cs
0.8162 0.8162 0.5513 U
0.3163 0.3163 0.0511 Sn
0.5687 0.0647 0.3043 S
0.0648 0.0623 0.3043 S
0.0622 0.5687 0.3042 S
0.5676 0.5701 0.7990 S
0.5702 0.0632 0.7990 S
0.0633 0.5676 0.7990 S
```

Calculated values
formation energy (no corrections)	-0.917	eV/atom
total magnetic moment	0.0	μB per cell



DFT (PBE) results for Dy8CuPd2 after structural relaxation.

POSCAR file:
```
Dy8CuPd2
1.0
5.0672 0.0000 0.0000
0.0000 6.7365 0.2457
-2.5336 -2.6006 8.3605
Dy Cu Pd
8 1 2
direct
0.4090 0.5432 0.8180 Dy
0.6672 0.9809 0.3344 Dy
0.7977 0.6730 0.5953 Dy
0.9682 0.2185 0.9364 Dy
0.2023 0.3270 0.4047 Dy
0.3328 0.0191 0.6656 Dy
0.5910 0.4568 0.1820 Dy
0.0318 0.7815 0.0636 Dy
0.5000 0.0000 0.0000 Cu
0.8140 0.2684 0.6280 Pd
0.1860 0.7316 0.3720 Pd
```

Calculated values
total magnetic moment	0.0	μB per cell
energy above the lowest structure with this stoichiometry	0	meV per atom
formation enthalpy at 0 K	-0.345	eV per atom



DFT (PBE) results for VB after structural relaxation.

POSCAR file:
```
VB
1.0
4.6993 0.0000 0.0000
0.0000 4.6993 0.0000
0.0000 0.0000 4.6993
V B
4 4
direct
0.0000 0.0000 0.0000 V
0.0000 0.5000 0.5000 V
0.5000 0.0000 0.5000 V
0.5000 0.5000 0.0000 V
0.2500 0.2500 0.2500 B
0.2500 0.7500 0.7500 B
0.7500 0.2500 0.7500 B
0.7500 0.7500 0.2500 B
```

Calculated values
total magnetic moment	0.0	μB per cell
formation enthalpy at 0 K	0.776	eV per atom



DFT (PBE) results for Pm4Pt2Cl3 after structural relaxation.

POSCAR file:
```
Pm4Pt2Cl3
1.0
-0.4893 1.9262 -3.5899
3.1331 -2.5972 0.5245
-10.1816 -13.4402 -5.8396
Pm Pt Cl
4 2 3
direct
0.3335 0.6665 0.8791 Pm
0.9992 0.0008 0.3054 Pm
0.0008 0.9992 0.6946 Pm
0.6665 0.3335 0.1209 Pm
0.6671 0.3329 0.7914 Pt
0.3329 0.6671 0.2086 Pt
0.6658 0.3342 0.4011 Cl
0.0000 0.0000 0.0000 Cl
0.3342 0.6658 0.5989 Cl
```

Calculated values
formation energy (no corrections)	-1.530	eV/atom
total magnetic moment	0.0	μB per cell



DFT (PBE) results for YZrNi after structural relaxation.

POSCAR file:
```
YZrNi
1.0
-2.8335 1.9972 -5.1844
-4.9771 -0.1313 -3.7553
-1.9111 2.5691 0.9567
Ni Y Zr
1 1 1
direct
0.0218 0.0218 0.9782 Ni
0.3474 0.3474 0.6526 Y
0.6308 0.6308 0.3692 Zr
```

Calculated values
total magnetic moment	1.0	μB per cell
energy above the lowest structure with this stoichiometry	30	meV per atom
formation enthalpy at 0 K	-0.170	eV per atom



DFT (PBE) results for Sr3Tl5Pb2 after structural relaxation.

POSCAR file:
```
Sr3Tl5Pb2
1.0
10.5826 0.0000 -4.0225
-0.9940 6.5532 -2.6152
-1.8644 0.2440 11.0271
Sr Tl Pb
6 10 4
direct
0.2500 0.0000 0.0000 Sr
0.7500 0.0000 0.0000 Sr
0.6650 0.6652 0.3299 Sr
0.3350 0.3348 0.6701 Sr
0.1649 0.6647 0.3299 Sr
0.8351 0.3353 0.6701 Sr
0.2500 0.5000 0.0000 Tl
0.7500 0.5000 0.0000 Tl
0.0207 0.7707 0.5414 Tl
0.4793 0.2293 0.4586 Tl
0.9793 0.2293 0.4586 Tl
0.5207 0.7707 0.5414 Tl
0.0000 0.7309 0.0000 Tl
0.0000 0.2691 0.0000 Tl
0.5000 0.2691 0.0000 Tl
0.5000 0.7309 0.0000 Tl
0.8600 0.8603 0.7200 Pb
0.1400 0.1397 0.2800 Pb
0.3600 0.8598 0.7200 Pb
0.6400 0.1402 0.2800 Pb
```

Calculated values
total magnetic moment	0.0	μB per cell
formation enthalpy at 0 K	-0.217	eV per atom